(1)
A plane-wave DFT calculation with PBE-GGA was carried out for a geometry-optimized La2Pr2CBr2Cl3 structure.

Unit cell a=9.5092 b=9.5092 c=8.1896 alpha=105.33 beta=105.33 gamma=24.12
With the nearest neighbours (Å) after each atom.
Atoms (fractional coordinates):
La 0.3559 0.3559 0.9084  1 C 2.58, 2 Cl 2.88
Cl 0.1599 0.1599 0.3538  1 Pr 2.88, 2 La 2.88
C 0.5000 0.5000 0.0000  2 La 2.58, 4 Pr 2.66
Cl 0.5000 0.5000 0.5000  4 Pr 3.06
Cl 0.8401 0.8401 0.6462  1 Pr 2.88, 2 La 2.88
Pr 0.0004 0.0004 0.2153  2 C 2.66, 1 Cl 2.88
Br 0.8316 0.8316 0.1747  1 Pr 3.07, 3 La 3.07-3.37
Br 0.1684 0.1684 0.8253  1 Pr 3.07, 3 La 3.07-3.37
La 0.6441 0.6441 0.0916  1 C 2.58, 2 Cl 2.88
Pr 0.9996 0.9996 0.7847  2 C 2.66, 1 Cl 2.88

Properties
Total energy ... -5.361 eV/atom
Symmetry ... No. 12
Density ... 4.78 Mg/m³


(2)
A plane-wave DFT calculation with PBE-GGA was carried out for a geometry-optimized La2Pr2CBr3Cl2 structure.

Unit cell a=9.2522 b=9.2522 c=8.5860 alpha=103.62 beta=103.62 gamma=25.01
With the nearest neighbours (Å) after each atom.
Atoms (fractional coordinates):
La 0.0040 0.0040 0.7938  2 C 2.69, 1 Cl 2.97
Cl 0.1731 0.1731 0.8570  3 Pr 2.91-3.19, 1 La 2.97
C 0.5000 0.5000 0.0000  2 Pr 2.55, 4 La 2.69
Pr 0.3547 0.3547 0.9176  1 C 2.55
Br 0.8318 0.8318 0.6530  2 Pr 2.98, 1 La 3.05
La 0.9960 0.9960 0.2062  2 C 2.69, 1 Cl 2.97
Cl 0.8269 0.8269 0.1430  3 Pr 2.91-3.19, 1 La 2.97
Pr 0.6453 0.6453 0.0824  1 C 2.55
Br 0.5000 0.5000 0.5000  4 La 3.21
Br 0.1682 0.1682 0.3470  2 Pr 2.98, 1 La 3.05

Properties
Total energy ... -5.292 eV/atom
Symmetry ... No. 12
Density ... 4.86 Mg/m³


(3)
A plane-wave DFT calculation with PBE-GGA was carried out for a geometry-optimized La2Pr2CBrCl4 structure.

Unit cell a=9.2096 b=9.2096 c=8.5776 alpha=104.93 beta=104.93 gamma=24.95
With the nearest neighbours (Å) after each atom.
Atoms (fractional coordinates):
C 0.5000 0.5000 0.0000  2 Pr 2.54, 4 La 2.67
La 0.9982 0.9982 0.2073  2 C 2.67, 2 Cl 2.91-2.96
Cl 0.8348 0.8348 0.6670  2 Pr 2.85, 1 La 2.91
Pr 0.6464 0.6464 0.0881  1 C 2.54
Br 0.5000 0.5000 0.5000  4 La 3.20
Cl 0.8278 0.8278 0.1392  3 Pr 2.91-3.18, 1 La 2.96
Cl 0.1652 0.1652 0.3330  2 Pr 2.85, 1 La 2.91
Pr 0.3536 0.3536 0.9119  1 C 2.54
La 0.0018 0.0018 0.7927  2 C 2.67, 2 Cl 2.91-2.96
Cl 0.1722 0.1722 0.8608  3 Pr 2.91-3.18, 1 La 2.96

Properties
Total energy ... -5.428 eV/atom
Symmetry ... No. 12
Density ... 4.45 Mg/m³


> Among the records above, which one has the lowest density?

La2Pr2CBrCl4


> Which formula does entry 2 have?

La2Pr2CBr3Cl2


What did the third record say?
A plane-wave DFT calculation with PBE-GGA was carried out for a geometry-optimized La2Pr2CBrCl4 structure.

Unit cell a=9.2096 b=9.2096 c=8.5776 alpha=104.93 beta=104.93 gamma=24.95
With the nearest neighbours (Å) after each atom.
Atoms (fractional coordinates):
C 0.5000 0.5000 0.0000  2 Pr 2.54, 4 La 2.67
La 0.9982 0.9982 0.2073  2 C 2.67, 2 Cl 2.91-2.96
Cl 0.8348 0.8348 0.6670  2 Pr 2.85, 1 La 2.91
Pr 0.6464 0.6464 0.0881  1 C 2.54
Br 0.5000 0.5000 0.5000  4 La 3.20
Cl 0.8278 0.8278 0.1392  3 Pr 2.91-3.18, 1 La 2.96
Cl 0.1652 0.1652 0.3330  2 Pr 2.85, 1 La 2.91
Pr 0.3536 0.3536 0.9119  1 C 2.54
La 0.0018 0.0018 0.7927  2 C 2.67, 2 Cl 2.91-2.96
Cl 0.1722 0.1722 0.8608  3 Pr 2.91-3.18, 1 La 2.96

Properties
Total energy ... -5.428 eV/atom
Symmetry ... No. 12
Density ... 4.45 Mg/m³


Please write out number 2 again, unchanged.
A plane-wave DFT calculation with PBE-GGA was carried out for a geometry-optimized La2Pr2CBr3Cl2 structure.

Unit cell a=9.2522 b=9.2522 c=8.5860 alpha=103.62 beta=103.62 gamma=25.01
With the nearest neighbours (Å) after each atom.
Atoms (fractional coordinates):
La 0.0040 0.0040 0.7938  2 C 2.69, 1 Cl 2.97
Cl 0.1731 0.1731 0.8570  3 Pr 2.91-3.19, 1 La 2.97
C 0.5000 0.5000 0.0000  2 Pr 2.55, 4 La 2.69
Pr 0.3547 0.3547 0.9176  1 C 2.55
Br 0.8318 0.8318 0.6530  2 Pr 2.98, 1 La 3.05
La 0.9960 0.9960 0.2062  2 C 2.69, 1 Cl 2.97
Cl 0.8269 0.8269 0.1430  3 Pr 2.91-3.19, 1 La 2.97
Pr 0.6453 0.6453 0.0824  1 C 2.55
Br 0.5000 0.5000 0.5000  4 La 3.21
Br 0.1682 0.1682 0.3470  2 Pr 2.98, 1 La 3.05

Properties
Total energy ... -5.292 eV/atom
Symmetry ... No. 12
Density ... 4.86 Mg/m³